[1]
## Ca6Ga3H2 (PBE-GGA)

Data for a relaxed Ca6Ga3H2 crystal.

For the spin magnetization, the calculation gives 0.0 μB per formula unit. Its total energy is -2.86 eV per atom.

CIF file:
```
data_Ca6Ga3H2
_space_group_name_H-M_alt 'P 1'
_space_group_IT_number 1
_space_group_name_Hall 'P 1'
_cell_length_a 12.2071
_cell_length_b 12.2071
_cell_length_c 12.2071
_cell_angle_alpha 157.07
_cell_angle_beta 157.07
_cell_angle_gamma 32.65
loop_
_atom_site_label
_atom_site_fract_x
_atom_site_fract_y
_atom_site_fract_z
Ca1 0.0805 0.5805 0.5000
Ca2 0.2024 0.2024 0.0000
Ca3 0.4195 0.9195 0.5000
Ca4 0.5805 0.0805 0.5000
Ca5 0.7976 0.7976 0.0000
Ca6 0.9195 0.4195 0.5000
Ga1 0.3341 0.3341 0.0000
Ga2 0.5000 0.5000 0.0000
Ga3 0.6659 0.6659 0.0000
H1 0.1003 0.1003 0.0000
H2 0.8997 0.8997 0.0000
```

=====

[2]
## BaMn2In (PBE-GGA)

Data for a relaxed BaMn2In crystal.

For the spin magnetization, the calculation gives 7.5 μB per formula unit. Its total energy is -5.37 eV per atom. The formation energy from the elements is 1.54 eV/f.u.

CIF file:
```
data_BaMn2In
_space_group_name_H-M_alt 'P 1'
_space_group_IT_number 1
_space_group_name_Hall 'P 1'
_cell_length_a 3.5070
_cell_length_b 3.4859
_cell_length_c 8.0648
_cell_angle_alpha 90.00
_cell_angle_beta 90.06
_cell_angle_gamma 90.00
loop_
_atom_site_label
_atom_site_fract_x
_atom_site_fract_y
_atom_site_fract_z
Ba1 0.0000 0.0000 0.0000
Mn1 0.0002 0.0000 0.5311
Mn2 0.5007 0.5000 0.6888
In1 0.5001 0.5000 0.3349
```

=====

[3]
## AcPuIr2 (PBE-GGA)

Data for a relaxed AcPuIr2 crystal.

For the spin magnetization, the calculation gives 4.8 μB per formula unit. Its total energy is -9.12 eV per atom. The formation energy from the elements is -0.33 eV/f.u.

CIF file:
```
data_AcPuIr2
_space_group_name_H-M_alt 'P 1'
_space_group_IT_number 1
_space_group_name_Hall 'P 1'
_cell_length_a 5.2182
_cell_length_b 7.9091
_cell_length_c 5.5216
_cell_angle_alpha 90.00
_cell_angle_beta 90.00
_cell_angle_gamma 90.00
loop_
_atom_site_label
_atom_site_fract_x
_atom_site_fract_y
_atom_site_fract_z
Ac1 0.0000 0.0000 0.0000
Ac2 0.5000 0.5000 0.0000
Pu1 0.0000 0.5000 0.5000
Pu2 0.5000 0.0000 0.5000
Ir1 0.0000 0.1792 0.5000
Ir2 0.0000 0.8208 0.5000
Ir3 0.5000 0.3208 0.5000
Ir4 0.5000 0.6792 0.5000
```

=====

[4]
## SmUBeN3 (PBE-GGA)

Data for a relaxed SmUBeN3 crystal.

For the spin magnetization, the calculation gives 1.5 μB per formula unit. Its total energy is -8.71 eV per atom. For the uncorrected formation energy, the calculation gives -1.260 eV/atom.

CIF file:
```
data_SmUBeN3
_space_group_name_H-M_alt 'P 1'
_space_group_IT_number 1
_space_group_name_Hall 'P 1'
_cell_length_a 6.9020
_cell_length_b 3.3118
_cell_length_c 7.1714
_cell_angle_alpha 90.00
_cell_angle_beta 99.85
_cell_angle_gamma 90.00
loop_
_atom_site_label
_atom_site_fract_x
_atom_site_fract_y
_atom_site_fract_z
Sm1 0.2078 0.2500 0.1690
Sm2 0.7922 0.7500 0.8310
U1 0.1878 0.2500 0.6563
U2 0.8122 0.7500 0.3437
Be1 0.4054 0.7500 0.9261
Be2 0.5946 0.2500 0.0739
N1 0.1404 0.7500 0.4191
N2 0.1539 0.7500 0.8794
N3 0.4920 0.2500 0.8413
N4 0.5080 0.7500 0.1587
N5 0.8461 0.2500 0.1206
N6 0.8596 0.2500 0.5809
```

=====

[5]
## PrB2IrRh (PBE-GGA)

Data for a relaxed PrB2IrRh crystal.

For the spin magnetization, the calculation gives 0.0 μB per formula unit. Its total energy is -7.51 eV per atom. The formation energy from the elements is -3.19 eV/f.u.

CIF file:
```
data_PrB2IrRh
_space_group_name_H-M_alt 'P 1'
_space_group_IT_number 1
_space_group_name_Hall 'P 1'
_cell_length_a 3.8787
_cell_length_b 3.8787
_cell_length_c 10.1482
_cell_angle_alpha 90.00
_cell_angle_beta 90.00
_cell_angle_gamma 90.00
loop_
_atom_site_label
_atom_site_fract_x
_atom_site_fract_y
_atom_site_fract_z
Pr1 0.0000 0.0000 0.0000
Pr2 0.5000 0.5000 0.5000
B1 0.0000 0.0000 0.3423
B2 0.0000 0.0000 0.6577
B3 0.5000 0.5000 0.1577
B4 0.5000 0.5000 0.8423
Ir1 0.0000 0.5000 0.7500
Ir2 0.5000 0.0000 0.2500
Rh1 0.0000 0.5000 0.2500
Rh2 0.5000 0.0000 0.7500
```

=====

[6]
## Ag6GeAu (PBE-GGA)

Data for a relaxed Ag6GeAu crystal.

For the spin magnetization, the calculation gives 0.0 μB per formula unit. Its total energy is -3.08 eV per atom. The formation energy from the elements is 0.37 eV/f.u.

CIF file:
```
data_Ag6GeAu
_space_group_name_H-M_alt 'P 1'
_space_group_IT_number 1
_space_group_name_Hall 'P 1'
_cell_length_a 4.9020
_cell_length_b 5.7939
_cell_length_c 10.1157
_cell_angle_alpha 90.00
_cell_angle_beta 90.00
_cell_angle_gamma 90.00
loop_
_atom_site_label
_atom_site_fract_x
_atom_site_fract_y
_atom_site_fract_z
Ag1 0.0000 0.0000 0.0000
Ag2 0.0000 0.2487 0.7483
Ag3 0.0000 0.2513 0.2483
Ag4 0.0000 0.5000 0.5000
Ag5 0.0000 0.7487 0.2483
Ag6 0.0000 0.7513 0.7483
Ag7 0.5000 0.0000 0.8351
Ag8 0.5000 0.2497 0.0861
Ag9 0.5000 0.2503 0.5861
Ag10 0.5000 0.5000 0.3351
Ag11 0.5000 0.7503 0.0861
Ag12 0.5000 0.7497 0.5861
Ge1 0.5000 0.0000 0.3359
Ge2 0.5000 0.5000 0.8359
Au1 0.0000 0.0000 0.4980
Au2 0.0000 0.5000 0.9980
```

=====

[7]
## Zn6Cd6Ag (PBE-GGA)

Data for a relaxed Zn6Cd6Ag crystal.

For the spin magnetization, the calculation gives 0.0 μB per formula unit. Its total energy is -1.17 eV per atom. The formation energy from the elements is 0.73 eV/f.u.

CIF file:
```
data_Zn6Cd6Ag
_space_group_name_H-M_alt 'P 1'
_space_group_IT_number 1
_space_group_name_Hall 'P 1'
_cell_length_a 7.4294
_cell_length_b 7.4294
_cell_length_c 7.4294
_cell_angle_alpha 139.09
_cell_angle_beta 104.22
_cell_angle_gamma 89.92
loop_
_atom_site_label
_atom_site_fract_x
_atom_site_fract_y
_atom_site_fract_z
Zn1 0.0000 0.0000 0.5000
Zn2 0.0000 0.5000 0.0000
Zn3 0.2396 0.2396 0.0000
Zn4 0.5000 0.0000 0.0000
Zn5 0.5000 0.5000 0.5000
Zn6 0.7604 0.7604 0.0000
Cd1 0.1636 0.0000 0.1636
Cd2 0.3327 0.5000 0.8327
Cd3 0.3536 0.8536 0.5000
Cd4 0.6464 0.1464 0.5000
Cd5 0.6673 0.5000 0.1673
Cd6 0.8364 0.0000 0.8364
Ag1 0.0000 0.5000 0.5000
```

=====

[8]
## Nd5ErTm3 (PBE-GGA)

Data for a relaxed Nd5ErTm3 crystal.

For the spin magnetization, the calculation gives 0.0 μB per formula unit. Its total energy is -4.37 eV per atom. The formation energy from the elements is 2.49 eV/f.u.

CIF file:
```
data_Nd5ErTm3
_space_group_name_H-M_alt 'P 1'
_space_group_IT_number 1
_space_group_name_Hall 'P 1'
_cell_length_a 10.4760
_cell_length_b 10.4760
_cell_length_c 11.7609
_cell_angle_alpha 121.55
_cell_angle_beta 121.55
_cell_angle_gamma 35.06
loop_
_atom_site_label
_atom_site_fract_x
_atom_site_fract_y
_atom_site_fract_z
Nd1 0.0273 0.6988 0.3394
Nd2 0.0990 0.9010 0.7500
Nd3 0.1501 0.4884 0.6702
Nd4 0.3012 0.9727 0.1606
Nd5 0.4884 0.1501 0.1702
Nd6 0.5116 0.8499 0.8298
Nd7 0.6988 0.0273 0.8394
Nd8 0.8499 0.5116 0.3298
Nd9 0.9010 0.0990 0.2500
Nd10 0.9727 0.3012 0.6606
Er1 0.3933 0.6067 0.2500
Er2 0.6067 0.3933 0.7500
Tm1 0.1045 0.5441 0.9737
Tm2 0.4559 0.8955 0.5263
Tm3 0.5000 0.5000 0.0000
Tm4 0.5000 0.5000 0.5000
Tm5 0.5441 0.1045 0.4737
Tm6 0.8955 0.4559 0.0263
```